A plane-wave DFT calculation with PBEsol was carried out for a relaxed Zr2Ag3F14 crystal.

Summary:
calculated volume	570.9	Å³ per cell
magnetization	1.98	μB per cell
formation energy (no corrections)	-2.49	eV/atom
total energy	-5.390	eV/atom

a = 9.349 Å, b = 6.701 Å, c = 9.116 Å
α = 90.00°, β = 91.36°, γ = 90.00°
Space group C2/m (No. 12)
Unique sites:
1 Zr 0.089 0.000 0.217 [4 per cell]
2 Ag 0.000 0.500 0.000 [2 per cell]
3 Ag 0.186 0.500 0.396 [4 per cell]
4 F 0.000 0.000 0.000 [2 per cell]
5 F 0.000 0.500 0.500 [2 per cell]
6 F 0.060 0.298 0.164 [8 per cell]
7 F 0.115 0.000 0.708 [4 per cell]
8 F 0.168 0.179 0.390 [8 per cell]
9 F 0.227 0.500 0.877 [4 per cell]

***

A plane-wave DFT calculation with PBEsol was carried out for a relaxed FeAg3 crystal.

Summary:
calculated volume	248.4	Å³ per cell
magnetization	11.95	μB per cell
energy of formation from the pure elements	363	meV per atom
total energy	-4.362	eV/atom

a = 6.286 Å, b = 6.286 Å, c = 6.286 Å
α = 90.00°, β = 90.00°, γ = 90.00°
Space group Fm-3m (No. 225)
Unique sites:
1 Fe 0.000 0.000 0.000 [4 per cell]
2 Ag 0.000 0.000 0.500 [4 per cell]
3 Ag 0.250 0.250 0.250 [8 per cell]

***

A plane-wave DFT calculation with PBEsol was carried out for a relaxed FeAg crystal.

Summary:
calculated volume	65.1	Å³ per cell
magnetization	5.62	μB per cell
energy of formation from the pure elements	847	meV per atom
total energy	-5.290	eV/atom

a = 4.0750 Å, b = 4.0750 Å, c = 4.5292 Å
α = 90.00°, β = 90.00°, γ = 120.00°
Space group P6_3/mmc (No. 194)
Unique sites:
1 Fe 0.0000 0.0000 0.0000 [2 per cell]
2 Ag 0.3333 0.6667 0.2500 [2 per cell]

***

A plane-wave DFT calculation with PBEsol was carried out for a relaxed FeAg3 crystal.

Summary:
calculated volume	61.7	Å³ per cell
magnetization	2.93	μB per cell
energy of formation from the pure elements	311	meV per atom
total energy	-4.413	eV/atom

a = 2.718 Å, b = 4.612 Å, c = 4.923 Å
α = 90.00°, β = 90.00°, γ = 90.00°
Space group Pmm2 (No. 25)
Unique sites:
1 Fe 0.000 0.000 0.000 [1 per cell]
2 Ag 0.000 0.500 0.683 [1 per cell]
3 Ag 0.500 0.000 0.498 [1 per cell]
4 Ag 0.500 0.500 0.173 [1 per cell]

***

A plane-wave DFT calculation with PBEsol was carried out for a relaxed FeAg3 crystal.

Summary:
calculated volume	61.7	Å³ per cell
magnetization	2.82	μB per cell
energy of formation from the pure elements	247	meV per atom
total energy	-4.477	eV/atom

a = 2.7739 Å, b = 2.7739 Å, c = 9.2662 Å
α = 90.00°, β = 90.00°, γ = 120.00°
Space group P-6m2 (No. 187)
Unique sites:
1 Fe 0.0000 0.0000 0.0000 [1 per cell]
2 Ag 0.0000 0.0000 0.5000 [1 per cell]
3 Ag 0.3333 0.6667 0.2386 [2 per cell]

***

A plane-wave DFT calculation with PBEsol was carried out for a relaxed FeAg3 crystal.

Summary:
calculated volume	123.8	Å³ per cell
magnetization	5.74	μB per cell
energy of formation from the pure elements	323	meV per atom
total energy	-4.401	eV/atom

a = 5.713 Å, b = 7.893 Å, c = 2.745 Å
α = 90.00°, β = 90.00°, γ = 90.00°
Space group Cmmm (No. 65)
Unique sites:
1 Fe 0.000 0.000 0.000 [2 per cell]
2 Ag 0.000 0.500 0.000 [2 per cell]
3 Ag 0.250 0.250 0.500 [4 per cell]